[1]
{"formula": "LiAc3Bi3", "functional": "GGA-PBE", "state": "relaxed", "n_ef_per_ev_fu": 2.9, "formation_enthalpy_0k_ev_per_atom": -0.860, "space_group": "Cmce, No. 64", "lattice_angstrom": [[7.003, 0.000, 0.000], [-3.501, 10.421, 0.000], [0.000, 0.000, 13.921]], "species": ["Ac", "Ac", "Bi", "Ac", "Ac", "Bi", "Ac", "Bi", "Bi", "Ac", "Ac", "Li", "Ac", "Bi", "Bi", "Ac", "Ac", "Li", "Li", "Ac", "Bi", "Bi", "Bi", "Ac", "Bi", "Bi", "Li", "Bi"], "frac_coords": [[0.551, 0.657, 0.132], [0.894, 0.343, 0.132], [0.106, 0.671, 0.620], [0.606, 0.657, 0.632], [0.707, 0.000, 0.860], [0.435, 0.329, 0.620], [0.293, 0.000, 0.140], [0.935, 0.329, 0.880], [0.775, 0.000, 0.116], [0.449, 0.343, 0.868], [0.793, 0.000, 0.360], [0.081, 0.162, 0.000], [0.051, 0.657, 0.368], [0.275, 0.000, 0.384], [0.394, 0.329, 0.120], [0.394, 0.343, 0.368], [0.949, 0.343, 0.632], [0.419, 0.838, 0.500], [0.581, 0.162, 0.500], [0.106, 0.657, 0.868], [0.225, 0.000, 0.884], [0.725, 0.000, 0.616], [0.565, 0.671, 0.380], [0.207, 0.000, 0.640], [0.894, 0.329, 0.380], [0.606, 0.671, 0.880], [0.919, 0.838, 0.000], [0.065, 0.671, 0.120]]}

[2]
{"formula": "Li2AcBi", "functional": "GGA-PBE", "state": "relaxed", "n_ef_per_ev_fu": 1.9, "formation_enthalpy_0k_ev_per_atom": -0.406, "space_group": "R-3m, No. 166", "relative_energy_mev_per_atom": 0, "lattice_angstrom": [[-1.861, 3.597, 2.197], [-4.477, -0.030, 1.088], [-0.869, -1.251, 6.144]], "species": ["Bi", "Ac", "Li", "Li"], "frac_coords": [[0.500, 0.500, 0.500], [0.000, 0.000, 0.000], [0.793, 0.793, 0.620], [0.207, 0.207, 0.380]]}

[3]
{"formula": "Li12Ac5Bi3", "functional": "GGA-PBE", "state": "relaxed", "n_ef_per_ev_fu": 20.3, "formation_enthalpy_0k_ev_per_atom": 0.292, "space_group": "Ia-3d, No. 230", "lattice_angstrom": [[14.956, 0.000, 0.000], [-4.985, 14.101, 0.000], [-4.985, -7.051, 12.212]], "species": ["Li", "Li", "Li", "Ac", "Li", "Ac", "Ac", "Ac", "Li", "Li", "Li", "Li", "Li", "Li", "Li", "Ac", "Li", "Li", "Li", "Li", "Bi", "Li", "Ac", "Li", "Bi", "Ac", "Li", "Li", "Ac", "Bi", "Li", "Li", "Li", "Bi", "Li", "Bi", "Li", "Li", "Ac", "Bi", "Bi", "Ac", "Li", "Ac", "Bi", "Li", "Bi", "Li", "Li", "Li", "Ac", "Li", "Li", "Li", "Ac", "Li", "Li", "Ac", "Li", "Li", "Li", "Li", "Li", "Ac", "Li", "Ac", "Ac", "Li", "Li", "Ac", "Bi", "Li", "Ac", "Ac", "Li", "Li", "Li", "Li", "Bi", "Bi"], "frac_coords": [[0.412, 0.159, 0.556], [0.397, 0.753, 0.841], [0.412, 0.253, 0.356], [0.250, 0.375, 0.625], [0.253, 0.841, 0.897], [0.750, 0.625, 0.375], [0.375, 0.125, 0.750], [0.125, 0.375, 0.250], [0.659, 0.103, 0.247], [0.841, 0.253, 0.397], [0.088, 0.144, 0.247], [0.747, 0.588, 0.144], [0.753, 0.356, 0.912], [0.603, 0.247, 0.159], [0.159, 0.412, 0.056], [0.000, 0.000, 0.500], [0.103, 0.659, 0.747], [0.747, 0.159, 0.103], [0.856, 0.912, 0.253], [0.247, 0.644, 0.088], [0.750, 0.875, 0.625], [0.912, 0.856, 0.753], [0.000, 0.500, 0.000], [0.356, 0.603, 0.444], [0.625, 0.250, 0.375], [0.750, 0.125, 0.875], [0.056, 0.144, 0.397], [0.397, 0.644, 0.056], [0.500, 0.500, 0.000], [0.750, 0.375, 0.125], [0.159, 0.747, 0.603], [0.056, 0.912, 0.159], [0.603, 0.356, 0.944], [0.375, 0.625, 0.250], [0.944, 0.856, 0.603], [0.250, 0.125, 0.375], [0.103, 0.444, 0.856], [0.644, 0.247, 0.588], [0.500, 0.000, 0.500], [0.875, 0.750, 0.125], [0.625, 0.375, 0.750], [0.625, 0.875, 0.250], [0.588, 0.747, 0.644], [0.000, 0.000, 0.000], [0.875, 0.125, 0.250], [0.944, 0.088, 0.841], [0.125, 0.875, 0.750], [0.588, 0.841, 0.444], [0.644, 0.397, 0.556], [0.247, 0.603, 0.659], [0.625, 0.750, 0.875], [0.856, 0.944, 0.103], [0.659, 0.556, 0.912], [0.444, 0.103, 0.356], [0.500, 0.500, 0.500], [0.841, 0.588, 0.944], [0.897, 0.341, 0.253], [0.875, 0.250, 0.625], [0.253, 0.412, 0.856], [0.897, 0.556, 0.144], [0.356, 0.753, 0.412], [0.088, 0.944, 0.341], [0.444, 0.341, 0.588], [0.000, 0.500, 0.500], [0.144, 0.088, 0.747], [0.500, 0.000, 0.000], [0.875, 0.625, 0.750], [0.341, 0.444, 0.088], [0.912, 0.056, 0.659], [0.250, 0.875, 0.125], [0.125, 0.250, 0.875], [0.753, 0.397, 0.341], [0.375, 0.250, 0.125], [0.125, 0.750, 0.375], [0.341, 0.897, 0.753], [0.556, 0.659, 0.412], [0.556, 0.897, 0.644], [0.144, 0.056, 0.897], [0.375, 0.750, 0.625], [0.250, 0.625, 0.875]]}

[4]
{"formula": "LiAc4Bi2", "functional": "GGA-PBE", "state": "relaxed", "n_ef_per_ev_fu": 5.7, "formation_enthalpy_0k_ev_per_atom": -0.242, "space_group": "I4/mmm, No. 139", "lattice_angstrom": [[-0.662, -0.306, 5.351], [3.903, -3.723, 0.270], [4.580, 8.597, -1.667]], "species": ["Ac", "Ac", "Li", "Ac", "Bi", "Bi", "Ac"], "frac_coords": [[0.500, 0.000, 0.000], [0.825, 0.825, 0.649], [0.000, 0.000, 0.000], [0.175, 0.175, 0.351], [0.363, 0.363, 0.725], [0.637, 0.637, 0.275], [0.000, 0.500, 0.000]]}

[5]
{"formula": "Li3AcBi2", "functional": "GGA-PBE", "state": "relaxed", "n_ef_per_ev_fu": 0.3, "formation_enthalpy_0k_ev_per_atom": -0.669, "space_group": "C2/m, No. 12", "relative_energy_mev_per_atom": 0, "lattice_angstrom": [[-3.899, -0.023, 2.569], [-3.000, -1.289, -8.805], [2.014, -10.729, 2.962]], "species": ["Li", "Li", "Ac", "Bi", "Li", "Bi", "Li", "Ac", "Ac", "Li", "Bi", "Li", "Li", "Bi", "Li", "Bi", "Li", "Bi"], "frac_coords": [[0.792, 0.583, 0.601], [0.053, 0.105, 0.338], [0.172, 0.343, 0.714], [0.190, 0.381, 0.140], [0.380, 0.759, 0.777], [0.354, 0.709, 0.520], [0.500, 0.000, 0.500], [0.000, 0.000, 0.000], [0.828, 0.657, 0.286], [0.680, 0.359, 0.986], [0.543, 0.087, 0.796], [0.620, 0.241, 0.223], [0.320, 0.641, 0.014], [0.810, 0.619, 0.860], [0.208, 0.417, 0.399], [0.457, 0.913, 0.204], [0.947, 0.895, 0.662], [0.646, 0.291, 0.480]]}

[6]
{"formula": "Li3Ac4Bi8", "functional": "GGA-PBE", "state": "relaxed", "n_ef_per_ev_fu": 7.6, "formation_enthalpy_0k_ev_per_atom": -0.686, "space_group": "P-4m2, No. 115", "lattice_angstrom": [[4.707, 0.000, 0.000], [0.000, 4.707, 0.000], [0.000, 0.000, 21.570]], "species": ["Bi", "Ac", "Bi", "Ac", "Li", "Li", "Ac", "Bi", "Li", "Ac", "Bi", "Bi", "Bi", "Bi", "Bi"], "frac_coords": [[0.500, 0.000, 0.578], [0.000, 0.500, 0.631], [0.500, 0.500, 0.757], [0.000, 0.500, 0.115], [0.500, 0.500, 0.500], [0.000, 0.000, 0.500], [0.500, 0.000, 0.885], [0.000, 0.500, 0.934], [0.000, 0.000, 0.000], [0.500, 0.000, 0.369], [0.000, 0.500, 0.422], [0.000, 0.000, 0.758], [0.000, 0.000, 0.242], [0.500, 0.500, 0.243], [0.500, 0.000, 0.066]]}

[7]
{"formula": "Li2Ac3Bi3", "functional": "GGA-PBE", "state": "relaxed", "n_ef_per_ev_fu": 4.6, "formation_enthalpy_0k_ev_per_atom": -0.756, "space_group": "Cmcm, No. 63", "lattice_angstrom": [[4.782, 0.000, 0.000], [-2.391, 6.438, 0.000], [0.000, 0.000, 16.590]], "species": ["Ac", "Li", "Ac", "Bi", "Ac", "Bi", "Ac", "Li", "Li", "Bi", "Ac", "Bi", "Ac", "Bi", "Li", "Bi"], "frac_coords": [[0.927, 0.855, 0.391], [0.774, 0.547, 0.592], [0.927, 0.855, 0.109], [0.345, 0.690, 0.250], [0.636, 0.272, 0.250], [0.629, 0.259, 0.048], [0.364, 0.728, 0.750], [0.774, 0.547, 0.908], [0.226, 0.453, 0.092], [0.371, 0.741, 0.548], [0.073, 0.145, 0.891], [0.655, 0.310, 0.750], [0.073, 0.145, 0.609], [0.371, 0.741, 0.952], [0.226, 0.453, 0.408], [0.629, 0.259, 0.452]]}

[8]
{"formula": "Li3AcBi3", "functional": "GGA-PBE", "state": "relaxed", "n_ef_per_ev_fu": 2.7, "formation_enthalpy_0k_ev_per_atom": -0.410, "space_group": "R-3, No. 148", "relative_energy_mev_per_atom": 0, "lattice_angstrom": [[-5.159, 4.811, 1.181], [-2.736, 0.772, 6.564], [3.527, 8.012, 4.425]], "species": ["Bi", "Bi", "Li", "Bi", "Li", "Li", "Ac", "Bi", "Bi", "Li", "Li", "Li", "Bi", "Ac"], "frac_coords": [[0.239, 0.689, 0.246], [0.761, 0.311, 0.754], [0.425, 0.228, 0.424], [0.311, 0.173, 0.754], [0.772, 0.077, 0.576], [0.228, 0.923, 0.424], [0.311, 0.311, 0.067], [0.173, 0.761, 0.754], [0.827, 0.239, 0.246], [0.077, 0.575, 0.576], [0.575, 0.772, 0.576], [0.923, 0.425, 0.424], [0.689, 0.827, 0.246], [0.689, 0.689, 0.933]]}